DFT (PBE-GGA) results for a relaxed structure of NdYHo2Tl2.

Cell and atoms, written as extended XYZ:
```
12
Lattice="-0.015 1.896 -4.791 5.323 -3.940 -1.577 -6.270 -7.319 -2.877" Properties=species:S:1:pos:R:3 pbc="T T T"
Nd 2.234 -7.145 -2.835
Nd -0.940 -5.773 -2.282
Y -3.365 -4.834 -4.673
Y 1.695 -4.005 -4.362
Ho -0.012 0.437 -2.598
Ho 0.638 -2.643 -1.048
Ho -3.081 -8.222 -6.016
Ho -0.694 -9.275 -3.669
Tl -3.855 -7.522 -2.965
Tl -1.090 -2.554 -3.778
Tl 3.415 -4.113 -1.639
Tl -0.186 -6.577 -5.374
```

Properties
ΔE_f: -0.276 eV/atom
VASP energy: -4.463 eV per atom